(1)
DFT (GGA-PBE) results for TaAsNO after structural relaxation.

## Properties
- Space group: P4/nmm (129)
- Energy above the most stable polymorph in this dataset: 555 meV per atom

Lattice parameters (Å, degrees): 3.200 3.200 10.243 90.00 90.00 90.00
Fractional coordinates of all 8 atoms:
1 Ta 0.250 0.250 0.136
2 Ta 0.750 0.750 0.864
3 As 0.250 0.750 0.500
4 As 0.750 0.250 0.500
5 N 0.250 0.250 0.797
6 N 0.750 0.750 0.203
7 O 0.250 0.750 0.000
8 O 0.750 0.250 0.000

(2)
DFT (GGA-PBE) results for TaAsNO after structural relaxation.

## Properties
- Space group: Pmc2_1 (26)
- Energy above the most stable polymorph in this dataset: 0 meV per atom

Lattice parameters (Å, degrees): 3.661 6.761 5.430 90.00 90.00 90.00
Fractional coordinates of all 8 atoms:
1 Ta 0.000 0.177 0.000
2 Ta 0.000 0.823 0.500
3 As 0.500 0.485 0.000
4 As 0.500 0.515 0.500
5 N 0.500 0.213 0.860
6 N 0.500 0.787 0.360
7 O 0.000 0.084 0.322
8 O 0.000 0.916 0.822

(3)
DFT (GGA-PBE) results for TaAsNO after structural relaxation.

## Properties
- Space group: Pca2_1 (29)
- Energy above the most stable polymorph in this dataset: 138 meV per atom

Lattice parameters (Å, degrees): 6.119 7.979 5.448 90.00 90.00 90.00
Fractional coordinates of all 16 atoms:
1 Ta 0.089 0.102 0.000
2 Ta 0.411 0.102 0.500
3 Ta 0.589 0.898 0.000
4 Ta 0.911 0.898 0.500
5 As 0.237 0.679 0.530
6 As 0.263 0.679 0.030
7 As 0.737 0.321 0.530
8 As 0.763 0.321 0.030
9 N 0.106 0.081 0.646
10 N 0.394 0.081 0.146
11 N 0.606 0.919 0.646
12 N 0.894 0.919 0.146
13 O 0.070 0.340 0.048
14 O 0.430 0.340 0.548
15 O 0.570 0.660 0.048
16 O 0.930 0.660 0.548